Crystalline Re2As at its relaxed geometry. Source: the Alexandria database, functional GGA-PBEsol.

Total DFT energy (no corrections) in eV/atom: -10.589
Magnetic moment in μB per formula unit: 0.001
Formation energy from the elements in kcal/mol of atoms: 0.0

POSCAR file:
```
Re2As
1.0
2.9906 0.0000 0.0000
-1.4953 5.2303 -0.0100
0.0000 -1.1784 5.6114
Re As
4 2
Direct
0.0367 0.0733 0.2944
0.3142 0.6285 0.3600
0.9633 0.9267 0.7056
0.6858 0.3715 0.6400
0.3542 0.7084 0.9452
0.6458 0.2916 0.0548
```



Crystalline CuSiCBr2 at its relaxed geometry. Source: the Alexandria database, functional GGA-PBEsol.

Total DFT energy (no corrections) in eV/atom: -3.047
Magnetic moment in μB per formula unit: 1.773
ΔE_f (raw) in meV per atom: 1646

POSCAR file:
```
CuSiCBr2
1.0
4.4414 0.0000 0.0000
0.0000 5.0864 0.0000
0.0000 0.0000 5.0864
Cu Si Br C
1 1 2 1
Direct
0.5000 0.0000 0.0000
0.0000 0.0000 0.0000
0.0000 0.5000 0.0000
0.0000 0.0000 0.5000
0.5000 0.5000 0.5000
```



Crystalline ReSiP2 at its relaxed geometry. Source: the Alexandria database, functional GGA-PBEsol.

Total DFT energy (no corrections) in eV/atom: -7.647
Magnetic moment in μB per formula unit: 0.000
ΔE_f (raw) in meV per atom: 18

POSCAR file:
```
ReSiP2
1.0
3.0071 0.0000 0.0000
0.0000 3.0071 0.0000
0.0000 0.0000 6.4976
Si P Re
1 2 1
Direct
0.5000 0.5000 0.7463
0.0000 0.0000 0.9245
0.5000 0.5000 0.3104
0.0000 0.0000 0.5188
```



Crystalline BaTaTe2 at its relaxed geometry. Source: the Alexandria database, functional GGA-PBEsol.

Total DFT energy (no corrections) in eV/atom: -5.939
Magnetic moment in μB per formula unit: 1.025
ΔE_f (raw) in meV per atom: -501
Offset from the most stable computed form in eV/atom: 0.000

POSCAR file:
```
BaTaTe2
1.0
-3.0277 -1.0685 2.9679
-2.2360 -3.7354 -0.4052
3.2107 -4.9906 4.6993
Ta Te Ba
1 2 1
Direct
0.0000 0.0000 0.0000
0.2706 0.2706 0.1883
0.7294 0.7294 0.8117
0.5000 0.5000 0.5000
```



Crystalline Nd3GaO6 at its relaxed geometry. Source: the Alexandria database, functional GGA-PBEsol.

Total DFT energy (no corrections) in eV/atom: -8.097
Magnetic moment in μB per formula unit: 0.000
ΔE_f (raw) in meV per atom: -3064

POSCAR file:
```
Nd3GaO6
1.0
5.5578 0.0000 0.0000
0.0000 7.3474 0.0043
0.0000 -1.6294 7.1645
O Nd Ga
12 6 2
Direct
0.8020 0.3538 0.3278
0.3020 0.6462 0.6722
0.8287 0.4156 0.8943
0.3287 0.8943 0.4156
0.8020 0.6722 0.6462
0.3287 0.5844 0.1057
0.8257 0.7843 0.2157
0.3257 0.2157 0.7843
0.3644 0.9592 0.0408
0.3020 0.3278 0.3538
0.8287 0.1057 0.5844
0.8644 0.0408 0.9592
0.5762 0.3958 0.6042
0.0315 0.0859 0.2985
0.5315 0.2985 0.0859
0.0315 0.7015 0.9141
0.5315 0.9141 0.7015
0.0762 0.6042 0.3958
0.4974 0.8082 0.1918
0.9974 0.1918 0.8082
```



Crystalline Zr2BeOs at its relaxed geometry. Source: the Alexandria database, functional GGA-PBEsol.

Total DFT energy (no corrections) in eV/atom: -8.740
Magnetic moment in μB per formula unit: 0.000
Formation energy from the elements in kcal/mol of atoms: -3.2

POSCAR file:
```
Zr2BeOs
1.0
3.1925 0.0000 0.0000
0.0000 4.4839 0.0000
-1.5962 -2.2419 4.7185
Zr Os Be
2 1 1
Direct
0.7464 0.2464 0.4928
0.9747 0.9747 0.9494
0.2340 0.7340 0.4679
0.5449 0.5449 0.0899
```